(1)
# FeTeIr PBE-GGA relaxed
data_FeTeIr
_symmetry_space_group_name_H-M 'P -6 m 2'
_symmetry_Int_Tables_number 187
_symmetry_space_group_name_Hall 'P -6 2'
_cell_length_a 3.2912
_cell_length_b 3.2912
_cell_length_c 11.8921
_cell_angle_alpha 90.00
_cell_angle_beta 90.00
_cell_angle_gamma 120.00
loop_
_atom_site_label
_atom_site_type_symbol
_atom_site_fract_x
_atom_site_fract_y
_atom_site_fract_z
_atom_site_occupancy
Fe1 Fe 0.0000 0.0000 0.1371 1
Te1 Te 0.3333 0.6667 0.2860 1
Ir1 Ir 0.3333 0.6667 0.0000 1
Ir2 Ir 0.3333 0.6667 0.5000 1
# Magnetization (μB/cell): 5.17
# Energy above the lowest structure with this stoichiometry (eV/f.u.): 1.13

(2)
# FeTeIr PBE-GGA relaxed
data_FeTeIr
_symmetry_space_group_name_H-M 'P 3 m 1'
_symmetry_Int_Tables_number 156
_cell_length_a 3.7724
_cell_length_b 3.7724
_cell_length_c 4.6689
_cell_angle_alpha 90.00
_cell_angle_beta 90.00
_cell_angle_gamma 120.00
loop_
_symmetry_equiv_pos_as_xyz
'x,y,z'
'-y,x-y,z'
'-x+y,-x,z'
'-y,-x,z'
'-x+y,y,z'
'x,x-y,z'
loop_
_atom_site_label
_atom_site_type_symbol
_atom_site_fract_x
_atom_site_fract_y
_atom_site_fract_z
_atom_site_occupancy
Fe1 Fe 0.0000 0.0000 0.0000 1
Te1 Te 0.3333 0.6667 0.5854 1
Ir1 Ir 0.6667 0.3333 0.2326 1
# Magnetization (μB/cell): 2.96
# Energy above the lowest structure with this stoichiometry (eV/f.u.): 0.65

(3)
# FeTeIr PBE-GGA relaxed
data_FeTeIr
_symmetry_space_group_name_H-M 'F -4 3 m'
_symmetry_Int_Tables_number 216
_symmetry_space_group_name_Hall 'F -4 2 3'
_cell_length_a 6.1452
_cell_length_b 6.1452
_cell_length_c 6.1452
_cell_angle_alpha 90.00
_cell_angle_beta 90.00
_cell_angle_gamma 90.00
loop_
_atom_site_label
_atom_site_type_symbol
_atom_site_fract_x
_atom_site_fract_y
_atom_site_fract_z
_atom_site_occupancy
Fe1 Fe 0.0000 0.0000 0.0000 1
Te1 Te 0.0000 0.0000 0.5000 1
Ir1 Ir 0.2500 0.2500 0.7500 1
# Magnetization (μB/cell): 15.35
# Energy above the lowest structure with this stoichiometry (eV/f.u.): 0.00